# CaAlCo3

An optimized crystal structure of CaAlCo3 (PBEsol, Alexandria via LeMat-Bulk).

The structure in extended XYZ format:
```
5
Lattice="-3.684 1.246 -1.899 0.625 -2.923 -3.130 -2.183 -2.938 2.309" Properties=species:S:1:pos:R:3 pbc="T T T"
Ca -2.621 -2.308 -1.360
Co 0.312 -1.462 -1.565
Co -1.092 -1.469 1.154
Co -1.842 0.623 -0.950
Al 0.000 0.000 0.000
```

## Properties
energy of formation: 0.645 eV per atom
symmetry: Pm-3m
final energy: -5.24 eV per atom
magnetic moment: 2.04 μB per formula unit

---

# Ca2AlCoO5

An optimized crystal structure of Ca2AlCoO5 (PBEsol, Alexandria via LeMat-Bulk).

The structure in extended XYZ format:
```
18
Lattice="5.138 0.046 0.000 -0.048 5.433 -0.011 -2.546 -2.725 7.390" Properties=species:S:1:pos:R:3 pbc="T T T"
Ca 2.598 -0.137 5.775
Ca 2.598 -0.145 1.607
Ca 0.002 2.871 1.601
Ca 0.001 2.878 5.769
Al 2.777 2.335 3.686
Al 0.225 0.403 3.690
Co -0.023 0.004 7.383
Co 2.522 2.743 7.378
O -0.586 1.999 3.687
O 1.995 0.724 3.690
O -0.148 -0.350 5.227
O 2.392 3.080 2.149
O 2.391 3.085 5.222
O -0.147 -0.355 2.154
O 1.268 1.340 0.163
O -1.302 1.370 7.213
O 1.267 1.354 7.214
O 3.837 1.403 0.163
```

## Properties
raw formation energy: -2.47 eV/atom
symmetry: Ima2
final energy: -7.17 eV per atom
magnetic moment: 2.51 μB per formula unit

---

# Ca3Al4CoO10

An optimized crystal structure of Ca3Al4CoO10 (PBEsol, Alexandria via LeMat-Bulk).

The structure in extended XYZ format:
```
72
Lattice="-1.195 1.494 -4.739 -6.483 -8.352 -0.998 -12.681 9.118 6.070" Properties=species:S:1:pos:R:3 pbc="T T T"
Ca -10.258 3.087 2.002
Ca -11.310 -2.386 -1.855
Ca -17.131 1.523 3.241
Ca -4.437 -0.822 -3.095
Ca -14.505 -2.303 1.376
Ca -8.994 0.518 -1.526
Ca -14.814 4.426 3.574
Ca -8.685 -6.211 -3.724
Ca -5.743 2.245 -1.895
Ca -13.716 1.173 2.367
Ca -7.937 -2.684 -2.896
Ca -11.522 6.102 3.367
Al -7.821 3.807 -0.343
Al -11.509 -0.223 0.835
Al -5.498 -4.370 -3.506
Al -13.832 7.954 3.997
Al -10.407 5.707 0.405
Al -8.940 -2.144 0.084
Al -15.828 3.098 0.949
Al -3.519 0.465 -0.461
Al -6.148 -0.942 0.088
Al -16.445 0.322 -0.099
Al -9.415 -5.099 -0.398
Al -13.178 4.480 0.388
Al -5.694 3.877 1.877
Al -11.729 2.164 -1.092
Al -4.533 -3.465 -0.730
Al -12.891 9.506 1.515
Co -7.638 1.372 1.519
Co -13.680 -0.348 -1.333
Co -6.509 -5.946 -1.072
Co -14.809 6.970 1.257
O -15.011 2.096 4.070
O -4.332 1.473 -3.581
O -9.640 4.741 3.550
O -9.702 -1.173 -3.061
O -2.539 -0.138 -1.818
O -16.812 3.697 2.306
O -10.323 -1.047 -0.142
O -9.027 4.606 0.631
O -6.171 -3.592 -4.942
O -13.079 7.280 5.446
O -7.870 4.136 -2.078
O -11.380 -0.448 2.582
O -5.154 0.027 -1.016
O -15.895 1.343 1.243
O -9.367 -3.450 -1.050
O -11.682 4.820 1.277
O -2.798 -3.394 -0.471
O -19.718 2.875 0.472
O -12.229 -3.120 1.993
O -10.287 2.601 -1.992
O -5.319 -2.461 0.497
O -18.069 0.818 -0.630
O -10.563 -5.197 0.956
O -12.825 3.555 -1.090
O -4.992 -3.071 -2.381
O -12.585 8.914 3.143
O -6.208 4.310 0.251
O -11.369 1.534 0.510
O -3.486 2.220 -0.729
O -14.181 3.507 1.477
O -7.646 -1.295 -0.788
O -10.021 7.022 1.536
O -9.047 -4.059 -4.468
O -12.740 4.478 4.582
O -7.577 1.390 -3.122
O -14.211 -0.971 3.235
O -6.907 -5.090 -2.708
O -14.073 6.549 2.946
O -7.772 2.039 -0.244
O -13.209 -0.580 0.481
```

## Properties
raw formation energy: -2.77 eV/atom
symmetry: Pca2_1
final energy: -7.38 eV per atom
magnetic moment: 3.00 μB per formula unit

---

# CaAl2Cr

An optimized crystal structure of CaAl2Cr (PBEsol, Alexandria via LeMat-Bulk).

The structure in extended XYZ format:
```
4
Lattice="3.211 0.000 0.000 0.000 3.211 0.000 0.000 0.000 7.435" Properties=species:S:1:pos:R:3 pbc="T T T"
Cr 1.606 1.606 6.033
Ca 0.000 0.000 3.800
Al 0.000 0.000 7.281
Al 1.606 1.606 1.474
```

## Properties
energy of formation: 0.221 eV per atom
symmetry: P4mm
final energy: -4.92 eV per atom
magnetic moment: 3.29 μB per formula unit

---

# Ca3AlCr

An optimized crystal structure of Ca3AlCr (PBEsol, Alexandria via LeMat-Bulk).

The structure in extended XYZ format:
```
5
Lattice="5.755 0.000 0.000 0.000 5.755 0.000 0.000 0.000 5.755" Properties=species:S:1:pos:R:3 pbc="T T T"
Cr 2.878 2.878 2.878
Ca 0.000 2.878 0.000
Ca 0.000 0.000 2.878
Ca 2.878 0.000 0.000
Al 0.000 0.000 0.000
```

## Properties
energy of formation: 0.702 eV per atom
symmetry: Pm-3m
final energy: -3.44 eV per atom
magnetic moment: 5.06 μB per formula unit

---

# Ca2AlCr

An optimized crystal structure of Ca2AlCr (PBEsol, Alexandria via LeMat-Bulk).

The structure in extended XYZ format:
```
4
Lattice="3.484 0.000 0.000 1.742 3.017 0.000 1.742 1.006 10.025" Properties=species:S:1:pos:R:3 pbc="T T T"
Cr 3.484 2.012 5.013
Ca 1.742 1.006 2.460
Ca 5.226 3.017 7.565
Al 0.000 0.000 0.000
```

## Properties
energy of formation: 0.575 eV per atom
symmetry: R-3m
final energy: -4.08 eV per atom
magnetic moment: 4.41 μB per formula unit

---

# CaAl20Cr2

An optimized crystal structure of CaAl20Cr2 (PBEsol, Alexandria via LeMat-Bulk).

The structure in extended XYZ format:
```
46
Lattice="10.144 0.000 0.000 5.072 8.785 0.000 5.072 2.928 8.283" Properties=species:S:1:pos:R:3 pbc="T T T"
Ca 0.000 0.000 0.000
Ca 5.072 2.928 2.071
Al 11.535 6.660 3.006
Al 8.754 5.054 5.277
Al 11.535 5.054 5.277
Al 8.754 6.660 3.006
Al 10.144 4.251 3.006
Al 10.144 7.462 5.277
Al 13.826 7.982 7.347
Al 16.607 9.588 5.077
Al 13.826 9.588 5.077
Al 16.607 7.982 7.347
Al 15.217 10.391 7.347
Al 15.217 7.180 5.077
Al 11.495 9.355 6.615
Al 10.144 3.138 0.565
Al 10.144 1.579 2.770
Al 8.794 9.355 6.615
Al 7.790 2.938 6.615
Al 13.849 7.996 2.770
Al 12.499 7.216 0.565
Al 6.440 5.277 6.615
Al 7.790 7.216 0.565
Al 12.499 2.938 6.615
Al 13.849 5.277 6.615
Al 6.440 7.996 2.770
Al 13.866 5.287 3.738
Al 10.144 8.576 1.505
Al 10.144 4.278 7.584
Al 6.422 5.287 3.738
Al 12.499 2.918 3.738
Al 11.512 6.646 7.584
Al 7.790 4.497 1.505
Al 8.777 9.365 3.738
Al 12.499 4.497 1.505
Al 7.790 2.918 3.738
Al 11.512 9.365 3.738
Al 8.777 6.646 7.584
Al 2.536 1.464 1.035
Al 5.072 2.928 5.177
Al 5.072 5.857 1.035
Al 7.608 1.464 1.035
Cr 12.680 7.321 5.177
Cr 10.144 5.857 1.035
Cr 10.144 2.928 5.177
Cr 7.608 7.321 5.177
```

## Properties
energy of formation: -0.117 eV per atom
symmetry: Fd-3m
final energy: -4.66 eV per atom
magnetic moment: 1.20 μB per formula unit

---

# CaAlCr2

An optimized crystal structure of CaAlCr2 (PBEsol, Alexandria via LeMat-Bulk).

The structure in extended XYZ format:
```
4
Lattice="3.024 0.000 0.000 -1.512 4.696 0.007 0.000 -1.726 4.835" Properties=species:S:1:pos:R:3 pbc="T T T"
Cr 0.000 0.351 0.273
Cr 1.512 1.596 1.242
Ca 0.000 1.145 3.725
Al 0.000 3.711 2.026
```

## Properties
energy of formation: 0.480 eV per atom
symmetry: Cm
final energy: -6.20 eV per atom
magnetic moment: 0.40 μB per formula unit

---

# CaAlCr2

An optimized crystal structure of CaAlCr2 (PBEsol, Alexandria via LeMat-Bulk).

The structure in extended XYZ format:
```
4
Lattice="-0.837 -2.135 2.001 1.784 -2.022 -1.411 5.570 1.885 4.340" Properties=species:S:1:pos:R:3 pbc="T T T"
Cr 0.436 0.148 0.340
Cr 1.704 -1.662 1.254
Ca 4.710 -0.645 3.596
Al 2.451 0.829 1.910
```

## Properties
energy of formation: 0.208 eV per atom
symmetry: P4mm
final energy: -6.47 eV per atom
magnetic moment: 0.90 μB per formula unit

---

# Ca2AlCr

An optimized crystal structure of Ca2AlCr (PBEsol, Alexandria via LeMat-Bulk).

The structure in extended XYZ format:
```
4
Lattice="-0.993 4.960 -0.300 -3.125 1.747 -3.586 -4.585 1.748 1.266" Properties=species:S:1:pos:R:3 pbc="T T T"
Cr -2.176 2.114 -0.655
Ca 0.000 0.000 0.000
Ca -6.527 6.341 -1.965
Al -4.351 4.227 -1.310
```

## Properties
energy of formation: 0.275 eV per atom
symmetry: F-43m
final energy: -4.38 eV per atom
magnetic moment: 4.75 μB per formula unit

---

# Ca4Al51Cr7

An optimized crystal structure of Ca4Al51Cr7 (PBEsol, Alexandria via LeMat-Bulk).

The structure in extended XYZ format:
```
62
Lattice="10.162 0.000 0.000 -5.081 8.801 0.000 0.000 0.000 11.411" Properties=species:S:1:pos:R:3 pbc="T T T"
Al 3.731 3.713 3.974
Al 6.431 3.713 3.974
Al 5.081 1.375 3.974
Al -3.702 8.004 9.449
Al 3.702 8.004 9.449
Al 0.000 1.592 9.449
Al 7.815 1.355 10.904
Al 2.347 1.355 10.904
Al 5.081 6.091 10.904
Al -1.388 6.668 9.768
Al 1.388 6.668 9.768
Al 0.000 4.264 9.768
Al -3.690 7.998 4.507
Al 3.690 7.998 4.507
Al 0.000 1.606 4.507
Al -2.734 7.446 0.507
Al 2.734 7.446 0.507
Al 0.000 2.710 0.507
Al 6.469 2.132 1.643
Al 3.693 2.132 1.643
Al 5.081 4.536 1.643
Al 1.350 5.088 7.437
Al -1.350 5.088 7.437
Al 0.000 7.425 7.437
Al 2.541 4.400 0.000
Al -2.541 4.400 0.000
Al 5.081 0.000 0.000
Al 8.783 0.796 1.962
Al 1.379 0.796 1.962
Al 5.081 7.208 1.962
Al 8.771 0.803 6.904
Al 1.391 0.803 6.904
Al 5.081 7.194 6.904
Al -1.824 3.160 5.705
Al 3.649 0.000 5.705
Al 3.257 5.641 5.705
Al 6.514 0.000 5.705
Al -3.257 5.641 5.705
Al 1.824 3.160 5.705
Al 2.719 5.892 2.810
Al -1.338 3.500 2.810
Al -1.381 8.210 2.810
Al 1.338 3.500 2.810
Al 1.381 8.210 2.810
Al -2.719 5.892 2.810
Al 6.462 0.591 8.601
Al 2.362 2.909 8.601
Al 6.419 5.301 8.601
Al 7.800 2.909 8.601
Al 3.743 5.301 8.601
Al 3.700 0.591 8.601
Ca 0.000 5.867 4.744
Ca 0.000 5.867 1.107
Ca 5.081 2.934 6.667
Ca 5.081 2.934 10.304
Cr 0.000 0.000 0.000
Cr -2.502 7.312 7.488
Cr 2.502 7.312 7.488
Cr 0.000 2.978 7.488
Cr 7.583 1.489 3.923
Cr 2.579 1.489 3.923
Cr 5.081 5.823 3.923
```

## Properties
energy of formation: -0.163 eV per atom
symmetry: P-3m1
final energy: -4.82 eV per atom
magnetic moment: 0.00 μB per formula unit

---

# CaAl2Cr

An optimized crystal structure of CaAl2Cr (PBEsol, Alexandria via LeMat-Bulk).

The structure in extended XYZ format:
```
4
Lattice="-2.517 -1.601 -0.888 0.149 -1.684 2.613 -4.378 4.967 3.452" Properties=species:S:1:pos:R:3 pbc="T T T"
Cr -3.373 0.841 2.588
Ca -1.184 -1.643 0.863
Al -3.025 3.432 2.385
Al -1.353 1.535 1.067
```

## Properties
energy of formation: -0.017 eV per atom
symmetry: P4/mmm
final energy: -5.16 eV per atom
magnetic moment: 2.45 μB per formula unit